First-principles (PBE) data for a geometry-optimized NaLiTmF5 structure, as listed in Alexandria.

Cell lengths 5.866, 5.866, 7.931 Å; angles 102.89, 102.89, 108.70 degrees
Fractional positions:
1 Na 0.147 0.853 0.750
2 Na 0.853 0.147 0.250
3 Li 0.187 0.813 0.250
4 Li 0.813 0.187 0.750
5 Tm 0.500 0.500 0.000
6 Tm 0.500 0.500 0.500
7 F 0.117 0.238 0.924
8 F 0.178 0.556 0.358
9 F 0.238 0.117 0.424
10 F 0.404 0.596 0.750
11 F 0.444 0.822 0.142
12 F 0.556 0.178 0.858
13 F 0.596 0.404 0.250
14 F 0.762 0.883 0.576
15 F 0.822 0.444 0.642
16 F 0.883 0.762 0.076

Properties
Crystal system: monoclinic
Calculated total energy in eV/atom: -5.6252
Spin magnetization in μB per formula unit: 0.12

First-principles (PBE) data for a geometry-optimized Na2LiUF6 structure, as listed in Alexandria.

Cell lengths 5.682, 5.765, 10.064 Å; angles 90.00, 117.51, 90.00 degrees
Fractional positions:
1 Na 0.190 0.054 0.238
2 Na 0.190 0.446 0.738
3 Na 0.810 0.554 0.262
4 Na 0.810 0.946 0.762
5 Li 0.000 0.000 0.500
6 Li 0.000 0.500 0.000
7 U 0.500 0.000 0.000
8 U 0.500 0.500 0.500
9 F 0.117 0.222 0.930
10 F 0.117 0.278 0.430
11 F 0.185 0.703 0.910
12 F 0.185 0.797 0.410
13 F 0.428 0.099 0.761
14 F 0.428 0.401 0.261
15 F 0.572 0.599 0.739
16 F 0.572 0.901 0.239
17 F 0.815 0.203 0.590
18 F 0.815 0.297 0.090
19 F 0.883 0.722 0.570
20 F 0.883 0.778 0.070

Properties
Crystal system: monoclinic
Calculated total energy in eV/atom: -5.6792
Spin magnetization in μB per formula unit: 2.98

First-principles (PBE) data for a geometry-optimized NaLi2UF6 structure, as listed in Alexandria.

Cell lengths 5.549, 5.549, 5.451 Å; angles 119.14, 119.14, 91.96 degrees
Fractional positions:
1 Na 0.000 0.000 0.000
2 Li 0.269 0.766 0.508
3 Li 0.766 0.269 0.508
4 U 0.539 0.539 0.048
5 F 0.121 0.121 0.601
6 F 0.415 0.415 0.358
7 F 0.566 0.963 0.500
8 F 0.569 0.941 0.001
9 F 0.941 0.569 0.001
10 F 0.963 0.566 0.500

Properties
Crystal system: monoclinic
Calculated total energy in eV/atom: -5.8052
Spin magnetization in μB per formula unit: 3.00

First-principles (PBE) data for a geometry-optimized Na2Li3UF12 structure, as listed in Alexandria.

Cell lengths 6.802, 6.802, 6.802 Å; angles 58.11, 58.11, 58.11 degrees
Fractional positions:
1 Na 0.101 0.101 0.101
2 Na 0.899 0.899 0.899
3 Li 0.000 0.500 0.500
4 Li 0.500 0.000 0.500
5 Li 0.500 0.500 0.000
6 U 0.500 0.500 0.500
7 F 0.096 0.655 0.655
8 F 0.249 0.249 0.644
9 F 0.249 0.644 0.249
10 F 0.345 0.345 0.904
11 F 0.345 0.904 0.345
12 F 0.356 0.751 0.751
13 F 0.644 0.249 0.249
14 F 0.655 0.096 0.655
15 F 0.655 0.655 0.096
16 F 0.751 0.356 0.751
17 F 0.751 0.751 0.356
18 F 0.904 0.345 0.345

Properties
Crystal system: trigonal
Calculated total energy in eV/atom: -5.0680
Spin magnetization in μB per formula unit: 1.07